# NdCoGe

An optimized crystal structure of NdCoGe (GGA-PBEsol, Alexandria via LeMat-Bulk).

Structure (POSCAR):
```
NdCoGe
1.0
4.076 0.000 0.000
0.000 4.076 0.000
0.000 0.000 6.816
Nd Co Ge
2 2 2
direct
0.250 0.250 0.187
0.750 0.750 0.813
0.250 0.750 0.500
0.750 0.250 0.500
0.250 0.250 0.684
0.750 0.750 0.316
```

As for the formation energy: -650 meV per atom. The value obtained for the density of states at the Fermi level is 1.67 states/eV/f.u.